# 1
The following is a GGA-PBEsol calculation of a relaxed YMn3Ge crystal, from the Alexandria database.

Output
The value obtained for the formation energy from the elements is 0.53 eV/atom.

a = 4.518 Å, b = 4.518 Å, c = 4.518 Å
α = 90.00°, β = 90.00°, γ = 90.00°
Space group Pm-3m (No. 221)
One atom of each set of equivalent atoms:
Y 0.000 0.000 0.000 x1
Mn 0.000 0.500 0.500 x3
Ge 0.500 0.500 0.500 x1


# 2
The following is a GGA-PBEsol calculation of a relaxed Ba2SrTl crystal, from the Alexandria database.

Output
The value obtained for the formation energy from the elements is -0.24 eV/atom. The calculation puts the distance to the lowest polymorph of the same formula at 0.000 eV/atom.

a = 4.236 Å, b = 4.236 Å, c = 10.351 Å
α = 90.00°, β = 90.00°, γ = 90.00°
Space group P4/mmm (No. 123)
One atom of each set of equivalent atoms:
Ba 0.000 0.000 0.190 x2
Sr 0.500 0.500 0.500 x1
Tl 0.500 0.500 0.000 x1


# 3
The following is a GGA-PBEsol calculation of a relaxed NaH9O5 crystal, from the Alexandria database.

Output
The calculation puts the distance to the lowest polymorph of the same formula at 0.000 eV/atom.

a = 15.021 Å, b = 4.023 Å, c = 9.238 Å
α = 90.00°, β = 115.99°, γ = 90.00°
Space group C2 (No. 5)
One atom of each set of equivalent atoms:
Na 0.047 0.000 0.355 x4
H 0.042 0.502 0.894 x4
H 0.074 0.500 0.157 x4
H 0.149 0.199 0.704 x4
H 0.149 0.805 0.705 x4
H 0.195 0.502 0.900 x4
H 0.198 0.297 0.107 x4
H 0.198 0.707 0.107 x4
H 0.239 0.008 0.325 x4
H 0.244 0.211 0.481 x4
O 0.024 0.501 0.202 x4
O 0.109 0.002 0.644 x4
O 0.153 0.502 0.061 x4
O 0.214 0.006 0.408 x4
O 0.225 0.501 0.823 x4


# 4
The following is a GGA-PBEsol calculation of a relaxed CoAu2Br crystal, from the Alexandria database.

Output
The formation energy from raw total energies is 0.435 eV/atom.

a = 2.8837 Å, b = 2.8837 Å, c = 29.1412 Å
α = 90.00°, β = 90.00°, γ = 120.00°
Space group R-3m (No. 166, hexagonal axes)
One atom of each set of equivalent atoms:
Co 0.0000 0.0000 0.0000 x3
Au 0.0000 0.0000 0.2637 x6
Br 0.0000 0.0000 0.5000 x3


# 5
The following is a GGA-PBEsol calculation of a relaxed Sr2MnO4 crystal, from the Alexandria database.

Output
The formation energy from raw total energies is -2.485 eV/atom.

a = 3.782 Å, b = 3.782 Å, c = 12.373 Å
α = 90.00°, β = 90.00°, γ = 90.00°
Space group I4/mmm (No. 139)
One atom of each set of equivalent atoms:
Sr 0.000 0.000 0.144 x4
Mn 0.000 0.000 0.500 x2
O 0.000 0.000 0.345 x4
O 0.000 0.500 0.000 x4


# 6
The following is a GGA-PBEsol calculation of a relaxed Ta2Co2Pt crystal, from the Alexandria database.

Output
The value obtained for the formation energy from the elements is -0.45 eV/atom.

a = 6.810 Å, b = 6.810 Å, c = 2.977 Å
α = 90.00°, β = 90.00°, γ = 90.00°
Space group P4/mbm (No. 127)
One atom of each set of equivalent atoms:
Ta 0.172 0.328 0.000 x4
Co 0.129 0.629 0.500 x4
Pt 0.000 0.000 0.500 x2


# 7
The following is a GGA-PBEsol calculation of a relaxed LaAuSe3 crystal, from the Alexandria database.

Output
The formation energy from raw total energies is -0.671 eV/atom.

a = 4.999 Å, b = 4.999 Å, c = 4.999 Å
α = 90.00°, β = 90.00°, γ = 90.00°
Space group Pm-3m (No. 221)
One atom of each set of equivalent atoms:
La 0.000 0.000 0.000 x1
Au 0.500 0.500 0.500 x1
Se 0.000 0.500 0.500 x3


# 8
The following is a GGA-PBEsol calculation of a relaxed Cs2TlGaBr6 crystal, from the Alexandria database.

Output
The formation energy from raw total energies is -1.197 eV/atom.

a = 11.194 Å, b = 11.194 Å, c = 11.194 Å
α = 90.00°, β = 90.00°, γ = 90.00°
Space group Fm-3m (No. 225)
One atom of each set of equivalent atoms:
Cs 0.250 0.250 0.250 x8
Tl 0.000 0.000 0.000 x4
Ga 0.000 0.000 0.500 x4
Br 0.000 0.000 0.273 x24


# 9
The following is a GGA-PBEsol calculation of a relaxed Ir2PbCl crystal, from the Alexandria database.

Output
The formation energy from raw total energies is 0.760 eV/atom. The calculation puts the distance to the lowest polymorph of the same formula at 0.000 eV/atom.

a = 2.895 Å, b = 5.241 Å, c = 9.894 Å
α = 90.00°, β = 90.00°, γ = 90.00°
Space group Imm2 (No. 44)
One atom of each set of equivalent atoms:
Ir 0.000 0.000 0.000 x2
Ir 0.000 0.500 0.290 x2
Pb 0.000 0.500 0.764 x2
Cl 0.000 0.000 0.585 x2


# 10
The following is a GGA-PBEsol calculation of a relaxed La2NiW crystal, from the Alexandria database.

Output
The value obtained for the formation energy from the elements is 0.65 eV/atom.

a = 3.5229 Å, b = 3.5229 Å, c = 24.8797 Å
α = 90.00°, β = 90.00°, γ = 120.00°
Space group R-3m (No. 166, hexagonal axes)
One atom of each set of equivalent atoms:
La 0.0000 0.0000 0.2446 x6
Ni 0.0000 0.0000 0.5000 x3
W 0.0000 0.0000 0.0000 x3


# 11
The following is a GGA-PBEsol calculation of a relaxed TcOsPt2I crystal, from the Alexandria database.

Output
The formation energy from raw total energies is 1.944 eV/atom.

a = 4.766 Å, b = 4.766 Å, c = 5.185 Å
α = 90.00°, β = 90.00°, γ = 90.00°
Space group P4/mmm (No. 123)
One atom of each set of equivalent atoms:
Tc 0.000 0.000 0.000 x1
Os 0.500 0.500 0.500 x1
Pt 0.000 0.500 0.500 x2
I 0.500 0.500 0.000 x1


# 12
The following is a GGA-PBEsol calculation of a relaxed SiSbTe2C crystal, from the Alexandria database.

Output
The formation energy from raw total energies is 1.057 eV/atom. The calculation puts the distance to the lowest polymorph of the same formula at 0.000 eV/atom.

a = 4.718 Å, b = 4.718 Å, c = 4.701 Å
α = 90.00°, β = 90.00°, γ = 90.00°
Space group P4/mmm (No. 123)
One atom of each set of equivalent atoms:
Si 0.000 0.000 0.000 x1
Sb 0.500 0.500 0.000 x1
Te 0.000 0.500 0.500 x2
C 0.500 0.500 0.500 x1


# 13
The following is a GGA-PBEsol calculation of a relaxed HoTiGe crystal, from the Alexandria database.

Output
The value obtained for the formation energy from the elements is -0.74 eV/atom.

a = 3.990 Å, b = 3.990 Å, c = 7.539 Å
α = 90.00°, β = 90.00°, γ = 90.00°
Space group P4/nmm (No. 129, origin choice 2)
One atom of each set of equivalent atoms:
Ho 0.250 0.250 0.157 x2
Ti 0.250 0.750 0.500 x2
Ge 0.250 0.250 0.746 x2


# 14
The following is a GGA-PBEsol calculation of a relaxed InTe2N2 crystal, from the Alexandria database.

Output
The formation energy from raw total energies is 1.970 eV/atom.

a = 5.838 Å, b = 5.838 Å, c = 3.943 Å
α = 90.00°, β = 90.00°, γ = 90.00°
Space group P4/mmm (No. 123)
One atom of each set of equivalent atoms:
In 0.000 0.000 0.000 x1
Te 0.000 0.500 0.000 x2
N 0.000 0.000 0.500 x1
N 0.500 0.500 0.500 x1


Listing calculated volume for the structures above in their given order: 18.4; 46.4; 8.4; 17.5; 12.6; 13.8; 25.0; 35.1; 18.8; 22.3; 23.6; 20.9; 20.0; 26.9 Å³/atom.
Listing energy for the structures above in their given order: -38.4; -9.7; -298.2; -47.1; -103.7; -99.6; -24.2; -124.2; -45.2; -84.1; -29.5; -21.7; -40.8; -17.2 eV/cell.